# 1
4
Lattice="-3.382 1.810 -5.354 -6.454 1.284 -0.263 5.463 1.320 3.433" Properties=species:S:1:pos:R:3 comment="PBE-GGA CaSeBr2, relaxed" polymorph_energy_mev_per_atom=298 m_tot_mub_per_fu=0.00 formation_energy_uncorrected_ev_per_atom=-0.938 dft_energy_ev_per_cell=-12.6 pbc="T T T"
Br 0.000 0.000 0.000
Br -2.954 2.076 0.181
Se -1.418 2.338 -2.364
Ca -4.918 1.547 -2.808

***

# 2
80
Lattice="-12.980 -0.020 -2.762 1.965 -5.188 12.056 4.556 12.462 -0.249" Properties=species:S:1:pos:R:3 comment="PBE-GGA Y3Ge5S12, relaxed" m_tot_mub_per_fu=0.00 formation_energy_uncorrected_ev_per_atom=-0.888 dft_energy_ev_per_cell=-439.1 pbc="T T T"
S 0.654 4.723 10.414
S -10.514 1.566 1.725
S -3.114 4.776 6.869
S 1.153 -3.109 10.693
S 1.067 8.493 0.383
S -3.345 2.477 2.176
S -2.202 9.627 2.112
S -7.612 10.362 -1.649
S -7.113 2.530 -1.370
S -3.601 -1.005 3.841
S -0.699 1.066 8.442
S -1.850 5.408 3.194
S -8.913 -0.250 -0.426
S 2.163 2.939 8.172
S 1.083 5.071 5.692
S -6.011 8.208 4.468
S -10.518 -0.819 4.460
S 0.878 8.036 3.979
S -5.248 4.988 3.566
S -4.609 1.845 5.851
S -7.526 -1.240 8.661
S -5.925 0.475 1.126
S 2.314 -0.088 10.576
S 1.247 4.838 1.834
S 4.055 5.687 7.320
S -7.706 2.416 7.210
S -0.533 6.778 7.918
S -6.665 5.481 7.132
S -8.773 7.342 -1.531
S -8.622 4.314 0.872
S 2.200 11.527 0.396
S -2.711 3.500 9.817
S -4.085 0.524 8.760
S -0.448 -0.955 4.576
S -8.659 -4.274 8.648
S -1.211 2.266 5.478
S -2.374 6.729 0.284
S 2.454 7.503 9.470
S -1.092 -2.446 7.613
S -7.542 2.183 3.352
S -5.760 6.187 0.602
S 4.059 8.073 4.584
S -5.367 9.699 1.431
S -7.337 -0.782 5.066
S -4.257 -2.374 6.932
S -3.748 3.753 -0.773
S -2.858 8.258 5.203
S 0.206 1.772 1.913
Ge -3.229 3.627 4.522
Ge -8.019 6.474 0.441
Ge -6.490 -0.010 -1.381
Ge -0.956 -2.987 9.827
Ge -3.807 0.253 1.947
Ge -2.652 7.000 7.097
Ge -5.503 10.240 -0.783
Ge 0.254 1.167 4.113
Ge -1.205 8.690 0.284
Ge 1.560 0.779 8.603
Ge -5.508 -2.604 4.647
Ge -6.798 1.415 5.370
Ge 2.278 6.231 -0.125
Ge 0.000 0.000 0.000
Ge -6.712 6.086 4.931
Ge -4.212 6.221 -1.506
Ge 0.340 5.838 3.675
Ge 0.983 -2.594 6.028
Ge 3.261 3.637 5.903
Ge -5.254 -1.437 8.760
Y -1.291 4.020 0.723
Y 3.514 4.804 10.017
Y -2.500 -0.135 6.437
Y -5.913 3.363 1.194
Y -9.314 -2.351 6.594
Y -3.959 7.388 2.607
Y -8.429 -0.403 2.418
Y -9.973 2.449 -0.972
Y 2.855 9.605 2.451
Y -5.168 3.234 8.321
Y 1.970 7.656 6.626
Y -0.546 3.890 7.850

***

# 3
4
Lattice="4.226 0.000 0.000 2.113 3.660 0.000 2.113 1.220 7.843" Properties=species:S:1:pos:R:3 comment="PBE-GGA Nd2CuI, relaxed" polymorph_energy_mev_per_atom=0 m_tot_mub_per_fu=0.00 formation_energy_uncorrected_ev_per_atom=-0.501 dft_energy_ev_per_cell=-17.2 pbc="T T T"
Nd 6.339 3.660 6.267
Nd 2.113 1.220 1.577
Cu 0.000 0.000 0.000
I 4.226 2.440 3.922

***

Question: Which formula does entry 3 have?
Answer: Nd2CuI